Entry 1:
Zr6Ni2Rh | GGA-PBE | relaxed

Unit cell a=8.289 b=8.587 c=9.800 alpha=90.00 beta=90.00 gamma=90.00
Space group Immm (No. 71)
Unique sites:
Zr: 0.000 0.192 0.235 x8
Zr: 0.204 0.500 0.170 x8
Zr: 0.206 0.311 0.500 x8
Ni: 0.000 0.350 0.000 x4
Ni: 0.000 0.500 0.374 x4
Rh: 0.000 0.000 0.000 x2
Rh: 0.000 0.000 0.500 x2

Values from the calculation:
- ΔH_f (0 K): -0.346 eV per atom
- Total magnetization: 0.00 Bohr magnetons per cell

---

Entry 2:
RbTmMgBr6 | GGA-PBE | relaxed

Unit cell a=7.1187 b=7.1187 c=15.5014 alpha=90.00 beta=90.00 gamma=120.00
Space group P-31c (No. 163)
Unique sites:
Rb: 0.0000 0.0000 0.0000 x2
Tm: 0.3333 0.6667 0.2500 x2
Mg: 0.3333 0.6667 0.7500 x2
Br: 0.0072 0.3772 0.6479 x12

Values from the calculation:
- Energy relative to the elements, uncorrected: -1733 meV/atom
- Total magnetization: 0.00 Bohr magnetons per cell

---

Entry 3:
Tb6PrZn2 | GGA-PBE | relaxed

Unit cell a=4.790 b=4.790 c=25.883 alpha=90.00 beta=90.00 gamma=90.00
Space group I4/mmm (No. 139)
Unique sites:
Tb: 0.000 0.500 0.110 x8
Tb: 0.000 0.500 0.250 x4
Pr: 0.000 0.000 0.000 x2
Zn: 0.000 0.000 0.321 x4

Values from the calculation:
- Distance to the lowest polymorph of the same formula: 37.7 kJ per mole of atoms
- ΔH_f (0 K): 0.253 eV per atom
- Total magnetization: 0.00 Bohr magnetons per cell

---

Entry 4:
TaInSb | GGA-PBE | relaxed

Unit cell a=3.809 b=4.873 c=15.119 alpha=90.00 beta=90.00 gamma=90.00
Space group Fmm2 (No. 42)
Unique sites:
Ta: 0.000 0.000 0.000 x4
In: 0.000 0.000 0.652 x4
Sb: 0.000 0.000 0.359 x4

Values from the calculation:
- Distance to the lowest polymorph of the same formula: 14.5 kJ per mole of atoms
- Energy relative to the elements, uncorrected: 275 meV/atom
- Total magnetization: 0.00 Bohr magnetons per cell

---

Entry 5:
Rb2CaBeCd | GGA-PBE | relaxed

Unit cell a=6.923 b=6.923 c=4.777 alpha=90.00 beta=90.00 gamma=90.00
Space group P4/mmm (No. 123)
Unique sites:
Rb: 0.000 0.500 0.000 x2
Ca: 0.000 0.000 0.500 x1
Be: 0.500 0.500 0.000 x1
Cd: 0.500 0.500 0.500 x1

Values from the calculation:
- ΔH_f (0 K): 0.502 eV per atom
- Total magnetization: 0.00 Bohr magnetons per cell

---

Entry 6:
Y4Zn2Ru | GGA-PBE | relaxed

Unit cell a=4.943 b=4.943 c=7.015 alpha=90.00 beta=90.00 gamma=90.00
Space group P4/mmm (No. 123)
Unique sites:
Y: 0.000 0.500 0.246 x4
Zn: 0.000 0.000 0.000 x1
Zn: 0.500 0.500 0.500 x1
Ru: 0.500 0.500 0.000 x1

Values from the calculation:
- ΔH_f (0 K): -0.225 eV per atom
- Total magnetization: 0.00 Bohr magnetons per cell

---

Entry 7:
TaGa2Au2 | GGA-PBE | relaxed

Unit cell a=7.428 b=7.428 c=3.121 alpha=90.00 beta=90.00 gamma=90.00
Space group P4/mbm (No. 127)
Unique sites:
Ta: 0.000 0.000 0.000 x2
Ga: 0.140 0.360 0.000 x4
Au: 0.160 0.660 0.500 x4

Values from the calculation:
- Distance to the lowest polymorph of the same formula: 0.0 kJ per mole of atoms
- ΔH_f (0 K): 0.037 eV per atom
- Total magnetization: 0.00 Bohr magnetons per cell

---

Entry 8:
Ce4P2SBr | GGA-PBE | relaxed

Unit cell a=7.124 b=4.101 c=7.137 alpha=90.00 beta=109.33 gamma=90.00
Space group P2/m (No. 10)
Unique sites:
Ce: 0.232 0.000 0.234 x2
Ce: 0.240 0.500 0.757 x2
P: 0.000 0.000 0.500 x1
P: 0.000 0.500 0.000 x1
S: 0.500 0.000 0.000 x1
Br: 0.500 0.500 0.500 x1

Values from the calculation:
- Energy relative to the elements, uncorrected: -1592 meV/atom
- Total magnetization: 2.64 Bohr magnetons per cell